## UTl2Se2F2 (GGA-PBE)

Data for a relaxed structure of UTl2Se2F2. Values from VASP.

Summary:
Formation energy (no corrections) ... -160.16 kJ per mole of atoms
Calculated total energy ... -5.48 eV/atom
Fermi-level density of states ... 0.7970 states/eV per atom

Geometry as Quantum ESPRESSO input:
```
&SYSTEM
  ibrav = 0, nat = 7, ntyp = 4
/
ATOMIC_SPECIES
U 238.03 U.upf
Tl 204.38 Tl.upf
Se 78.96 Se.upf
F 19.00 F.upf
CELL_PARAMETERS angstrom
5.6875 0.0000 0.0000
0.0000 5.6875 0.0000
-2.8437 -2.8437 6.8851
ATOMIC_POSITIONS crystal
U 0.0000 0.0000 0.0000
Tl 0.3656 0.3656 0.7312
Tl 0.6344 0.6344 0.2688
Se 0.0000 0.5000 0.0000
Se 0.5000 0.0000 0.0000
F 0.1533 0.1533 0.3065
F 0.8467 0.8467 0.6935
```